Density functional theory data (PBE with a Hubbard U) for MgFeOF2 after structural relaxation. Values from VASP.

magnetic moment	4.0	Bohr magnetons per cell
ρ	3.845	g cm⁻³
crystal system	tetragonal
distance to the lowest polymorph of the same formula	0.00	eV/f.u.
DFT total energy	-26.328	eV/cell

Cell and atoms, written as Quantum ESPRESSO input:
```
&SYSTEM
  ibrav = 0, nat = 5, ntyp = 4
/
ATOMIC_SPECIES
Mg 24.30 Mg.upf
Fe 55.84 Fe.upf
O 16.00 O.upf
F 19.00 F.upf
CELL_PARAMETERS angstrom
3.717 0.000 0.000
0.000 3.717 0.000
0.000 0.000 4.194
ATOMIC_POSITIONS crystal
Mg 0.000 0.000 0.000
Fe 0.500 0.500 0.500
O 0.000 0.000 0.500
F 0.000 0.500 0.000
F 0.500 0.000 0.000
```